# CeErSiHg

A geometry-optimized CeErSiHg structure (PBE, Alexandria via LeMat-Bulk).

Cell: 5.1577 5.1577 5.1577 Å, 60.00 60.00 60.00°
Element x y z (fractional)
Ce1 0.0000 0.0000 0.0000
Er1 0.5000 0.5000 0.5000
Si1 0.2500 0.2500 0.2500
Hg1 0.7500 0.7500 0.7500

Output
The uncorrected formation energy is -0.401 eV/atom. Its magnetization is 0.92 μB per formula unit.